[1]
VASP calculation (PBE) on a relaxed structure of CoMoRh.

- energy above the most stable polymorph in this dataset (kJ/mol of atoms) = 8.00
- ΔH_f (0 K) (eV per atom) = 0.0368

a b c (Å): 5.018 5.018 5.018
angles (deg): 130.52 116.93 84.10
Positions (direct):
1 Co 0.154 0.154 0.000
2 Co 0.846 0.846 0.000
3 Mo 0.249 0.500 0.749
4 Mo 0.751 0.500 0.251
5 Rh 0.326 0.826 0.500
6 Rh 0.674 0.174 0.500

=====

[2]
VASP calculation (PBE) on a relaxed structure of CoMoRh.

- energy above the most stable polymorph in this dataset (kJ/mol of atoms) = 0.12
- ΔH_f (0 K) (eV per atom) = -0.0449

a b c (Å): 4.644 4.644 4.644
angles (deg): 146.24 132.56 59.48
Positions (direct):
1 Co 0.000 0.000 0.000
2 Mo 0.662 0.662 0.000
3 Rh 0.337 0.337 0.000

=====

[3]
VASP calculation (PBE) on a relaxed structure of CoMo4Rh.

- ΔH_f (0 K) (eV per atom) = 0.4139

a b c (Å): 5.120 5.120 5.120
angles (deg): 60.00 60.00 60.00
Positions (direct):
1 Co 0.000 0.000 0.000
2 Mo 0.123 0.626 0.626
3 Mo 0.626 0.123 0.626
4 Mo 0.626 0.626 0.123
5 Mo 0.626 0.626 0.626
6 Rh 0.250 0.250 0.250

=====

[4]
VASP calculation (PBE) on a relaxed structure of CoMo2Rh.

- energy above the most stable polymorph in this dataset (kJ/mol of atoms) = 12.24
- ΔH_f (0 K) (eV per atom) = 0.0646

a b c (Å): 4.671 4.671 4.671
angles (deg): 131.23 131.23 71.45
Positions (direct):
1 Co 0.000 0.000 0.000
2 Mo 0.500 0.500 0.000
3 Mo 0.750 0.250 0.500
4 Rh 0.250 0.750 0.500

=====

[5]
VASP calculation (PBE) on a relaxed structure of CoMo2Rh.

- energy above the most stable polymorph in this dataset (kJ/mol of atoms) = 1.51
- ΔH_f (0 K) (eV per atom) = -0.0466

a b c (Å): 2.715 4.345 4.754
angles (deg): 90.00 90.00 90.00
Positions (direct):
1 Co 0.000 0.000 0.000
2 Mo 0.500 0.000 0.512
3 Mo 0.500 0.500 0.858
4 Rh 0.000 0.500 0.345

=====

[6]
VASP calculation (PBE) on a relaxed structure of CoMo2Rh.

- energy above the most stable polymorph in this dataset (kJ/mol of atoms) = 0.16
- ΔH_f (0 K) (eV per atom) = -0.0606

a b c (Å): 2.705 3.828 5.402
angles (deg): 90.00 90.09 90.00
Positions (direct):
1 Co 0.000 0.000 0.000
2 Mo 0.500 0.500 0.240
3 Mo 0.500 0.500 0.760
4 Rh 0.000 0.000 0.500

=====

[7]
VASP calculation (PBE) on a relaxed structure of CoMoRh3.

- energy above the most stable polymorph in this dataset (kJ/mol of atoms) = 0.00
- ΔH_f (0 K) (eV per atom) = 1.2601

a b c (Å): 4.380 4.380 4.380
angles (deg): 90.00 90.00 90.00
Positions (direct):
1 Co 0.000 0.000 0.000
2 Mo 0.500 0.500 0.500
3 Rh 0.000 0.000 0.500
4 Rh 0.000 0.500 0.000
5 Rh 0.500 0.000 0.000

=====

[8]
VASP calculation (PBE) on a relaxed structure of CoMo2Rh.

- energy above the most stable polymorph in this dataset (kJ/mol of atoms) = 38.77
- ΔH_f (0 K) (eV per atom) = 0.3396

a b c (Å): 4.342 4.342 4.342
angles (deg): 60.00 60.00 60.00
Positions (direct):
1 Co 0.000 0.000 0.000
2 Mo 0.250 0.250 0.250
3 Mo 0.750 0.750 0.750
4 Rh 0.500 0.500 0.500

=====

[9]
VASP calculation (PBE) on a relaxed structure of CoMo2Rh.

- energy above the most stable polymorph in this dataset (kJ/mol of atoms) = 16.93
- ΔH_f (0 K) (eV per atom) = 0.1132

a b c (Å): 4.738 4.738 4.615
angles (deg): 100.50 100.50 33.97
Positions (direct):
1 Co 0.000 0.000 0.000
2 Mo 0.253 0.253 0.757
3 Mo 0.747 0.747 0.243
4 Rh 0.500 0.500 0.500

=====

[10]
VASP calculation (PBE) on a relaxed structure of CoMo5Rh6.

- ΔH_f (0 K) (eV per atom) = -0.1385

a b c (Å): 7.240 7.240 7.240
angles (deg): 149.06 115.18 73.55
Positions (direct):
1 Co 0.000 0.000 0.000
2 Mo 0.165 0.665 0.500
3 Mo 0.334 0.334 0.000
4 Mo 0.500 0.000 0.500
5 Mo 0.666 0.666 0.000
6 Mo 0.835 0.335 0.500
7 Rh 0.081 0.834 0.247
8 Rh 0.244 0.500 0.744
9 Rh 0.413 0.166 0.247
10 Rh 0.587 0.834 0.753
11 Rh 0.756 0.500 0.256
12 Rh 0.919 0.166 0.753

=====

[11]
VASP calculation (PBE) on a relaxed structure of CoMo2Rh.

- energy above the most stable polymorph in this dataset (kJ/mol of atoms) = 10.14
- ΔH_f (0 K) (eV per atom) = 0.0428

a b c (Å): 2.768 3.626 5.657
angles (deg): 90.00 90.00 90.00
Positions (direct):
1 Co 0.000 0.000 0.000
2 Mo 0.000 0.000 0.495
3 Mo 0.500 0.500 0.201
4 Rh 0.500 0.500 0.740

=====

[12]
VASP calculation (PBE) on a relaxed structure of CoMo2Rh.

- energy above the most stable polymorph in this dataset (kJ/mol of atoms) = 59.64
- ΔH_f (0 K) (eV per atom) = 0.5559

a b c (Å): 9.183 9.183 9.183
angles (deg): 156.53 156.53 33.44
Positions (direct):
1 Co 0.000 0.000 0.000
2 Co 0.750 0.250 0.500
3 Mo 0.106 0.625 0.981
4 Mo 0.375 0.356 0.481
5 Mo 0.644 0.125 0.019
6 Mo 0.875 0.894 0.519
7 Rh 0.250 0.750 0.500
8 Rh 0.500 0.500 0.000

=====

[13]
VASP calculation (PBE) on a relaxed structure of CoMo2Rh.

- energy above the most stable polymorph in this dataset (kJ/mol of atoms) = 17.09
- ΔH_f (0 K) (eV per atom) = 0.1149

a b c (Å): 8.950 8.950 8.950
angles (deg): 17.51 17.51 17.51
Positions (direct):
1 Co 0.000 0.000 0.000
2 Mo 0.253 0.253 0.253
3 Mo 0.747 0.747 0.747
4 Rh 0.500 0.500 0.500

=====

[14]
VASP calculation (PBE) on a relaxed structure of Co4MoRh.

- ΔH_f (0 K) (eV per atom) = 0.0140

a b c (Å): 4.687 4.687 4.687
angles (deg): 60.00 60.00 60.00
Positions (direct):
1 Co 0.125 0.125 0.125
2 Co 0.125 0.125 0.625
3 Co 0.125 0.625 0.125
4 Co 0.625 0.125 0.125
5 Mo 0.500 0.500 0.500
6 Rh 0.750 0.750 0.750

=====

[15]
VASP calculation (PBE) on a relaxed structure of CoMo2Rh.

- energy above the most stable polymorph in this dataset (kJ/mol of atoms) = 0.00
- ΔH_f (0 K) (eV per atom) = -0.0622

a b c (Å): 4.704 4.704 4.704
angles (deg): 132.28 132.28 69.79
Positions (direct):
1 Co 0.000 0.000 0.000
2 Mo 0.250 0.750 0.500
3 Mo 0.750 0.250 0.500
4 Rh 0.500 0.500 0.000

=====

[16]
VASP calculation (PBE) on a relaxed structure of CoMoRh.

- energy above the most stable polymorph in this dataset (kJ/mol of atoms) = 8.22
- ΔH_f (0 K) (eV per atom) = 0.0391

a b c (Å): 4.209 4.209 2.672
angles (deg): 90.00 90.00 120.00
Positions (direct):
1 Co 0.000 0.000 0.000
2 Mo 0.667 0.333 0.000
3 Rh 0.333 0.667 0.500

=====

[17]
VASP calculation (PBE) on a relaxed structure of CoMoRh.

- energy above the most stable polymorph in this dataset (kJ/mol of atoms) = 10.57
- ΔH_f (0 K) (eV per atom) = 0.0634

a b c (Å): 4.807 4.807 4.807
angles (deg): 142.37 142.37 54.27
Positions (direct):
1 Co 0.000 0.000 0.000
2 Mo 0.368 0.368 0.000
3 Rh 0.683 0.683 0.000

=====

[18]
VASP calculation (PBE) on a relaxed structure of Co2Mo2Rh.

- ΔH_f (0 K) (eV per atom) = 0.0116

a b c (Å): 6.893 6.893 2.817
angles (deg): 90.00 90.00 90.00
Positions (direct):
1 Co 0.124 0.376 0.000
2 Co 0.376 0.876 0.000
3 Co 0.624 0.124 0.000
4 Co 0.876 0.624 0.000
5 Mo 0.174 0.674 0.500
6 Mo 0.326 0.174 0.500
7 Mo 0.674 0.826 0.500
8 Mo 0.826 0.326 0.500
9 Rh 0.000 0.000 0.000
10 Rh 0.500 0.500 0.000

=====

[19]
VASP calculation (PBE) on a relaxed structure of CoMoRh.

- energy above the most stable polymorph in this dataset (kJ/mol of atoms) = 12.95
- ΔH_f (0 K) (eV per atom) = 0.0880

a b c (Å): 2.701 2.701 6.503
angles (deg): 90.00 90.00 120.00
Positions (direct):
1 Co 0.000 0.000 0.000
2 Mo 0.667 0.333 0.322
3 Rh 0.333 0.667 0.669

=====

[20]
VASP calculation (PBE) on a relaxed structure of Co3MoRh.

- energy above the most stable polymorph in this dataset (kJ/mol of atoms) = 0.00
- ΔH_f (0 K) (eV per atom) = 1.5257

a b c (Å): 4.330 4.330 4.330
angles (deg): 90.00 90.00 90.00
Positions (direct):
1 Co 0.000 0.000 0.500
2 Co 0.000 0.500 0.000
3 Co 0.500 0.000 0.000
4 Mo 0.000 0.000 0.000
5 Rh 0.500 0.500 0.500